This record from the Alexandria database describes a geometry-optimized AcNdSn structure. The functional is PBE.

Summary:
Energy   -28.416 eV/cell
Energy above the most stable polymorph in this dataset   0.120 eV/atom
Formation energy from the elements   -0.4430 eV per atom

CIF file:
```
data_AcNdSn
_space_group_name_H-M_alt 'I 4 m m'
_space_group_IT_number 107
_space_group_name_Hall 'I 4 -2'
_cell_length_a 4.309
_cell_length_b 4.309
_cell_length_c 10.606
_cell_angle_alpha 90.00
_cell_angle_beta 90.00
_cell_angle_gamma 90.00
loop_
_atom_site_label
_atom_site_type_symbol
_atom_site_fract_x
_atom_site_fract_y
_atom_site_fract_z
Ac1 Ac 0.000 0.000 0.000
Nd1 Nd 0.000 0.000 0.692
Sn1 Sn 0.000 0.000 0.334
```

This record from the Alexandria database describes a geometry-optimized CdBr2Cl structure. The functional is PBE.

Summary:
Energy   -6.971 eV/cell
Uncorrected formation energy   -0.216 eV per atom
Energy above the most stable polymorph in this dataset   0.345 eV/atom

CIF file:
```
data_CdBr2Cl
_space_group_name_H-M_alt 'P 4/m m m'
_space_group_IT_number 123
_space_group_name_Hall '-P 4 2'
_cell_length_a 5.129
_cell_length_b 5.129
_cell_length_c 5.153
_cell_angle_alpha 90.00
_cell_angle_beta 90.00
_cell_angle_gamma 90.00
loop_
_atom_site_label
_atom_site_type_symbol
_atom_site_fract_x
_atom_site_fract_y
_atom_site_fract_z
Cd1 Cd 0.000 0.000 0.000
Br1 Br 0.500 0.500 0.251
Cl1 Cl 0.000 0.000 0.500
```

This record from the Alexandria database describes a geometry-optimized US2Cl2F2 structure. The functional is PBE.

Summary:
Energy   -77.639 eV/cell
Uncorrected formation energy   -1.692 eV per atom

CIF file:
```
data_US2Cl2F2
_space_group_name_H-M_alt 'C 1 2/m 1'
_space_group_IT_number 12
_space_group_name_Hall '-C 2y'
_cell_length_a 12.155
_cell_length_b 4.629
_cell_length_c 6.840
_cell_angle_alpha 90.00
_cell_angle_beta 114.49
_cell_angle_gamma 90.00
loop_
_atom_site_label
_atom_site_type_symbol
_atom_site_fract_x
_atom_site_fract_y
_atom_site_fract_z
U1 U 0.000 0.000 0.000
S1 S 0.070 0.000 0.638
Cl1 Cl 0.081 0.500 0.245
F1 F 0.182 0.000 0.093
```

This record from the Alexandria database describes a geometry-optimized LaZnRu3 structure. The functional is PBE.

Summary:
Energy   -24.850 eV/cell
Formation energy from the elements   1.8359 eV per atom

CIF file:
```
data_LaZnRu3
_space_group_name_H-M_alt 'P m -3 m'
_space_group_IT_number 221
_space_group_name_Hall '-P 4 2 3'
_cell_length_a 4.819
_cell_length_b 4.819
_cell_length_c 4.819
_cell_angle_alpha 90.00
_cell_angle_beta 90.00
_cell_angle_gamma 90.00
loop_
_atom_site_label
_atom_site_type_symbol
_atom_site_fract_x
_atom_site_fract_y
_atom_site_fract_z
La1 La 0.000 0.000 0.000
Zn1 Zn 0.500 0.500 0.500
Ru1 Ru 0.000 0.000 0.500
```

This record from the Alexandria database describes a geometry-optimized LaHoZnCd structure. The functional is PBE.

Summary:
Energy   -51.377 eV/cell
Energy above the most stable polymorph in this dataset   0.038 eV/atom
Formation energy from the elements   -0.2875 eV per atom

CIF file:
```
data_LaHoZnCd
_space_group_name_H-M_alt 'F -4 3 m'
_space_group_IT_number 216
_space_group_name_Hall 'F -4 2 3'
_cell_length_a 7.517
_cell_length_b 7.517
_cell_length_c 7.517
_cell_angle_alpha 90.00
_cell_angle_beta 90.00
_cell_angle_gamma 90.00
loop_
_atom_site_label
_atom_site_type_symbol
_atom_site_fract_x
_atom_site_fract_y
_atom_site_fract_z
La1 La 0.000 0.000 0.000
Ho1 Ho 0.000 0.000 0.500
Zn1 Zn 0.250 0.250 0.750
Cd1 Cd 0.250 0.250 0.250
```

This record from the Alexandria database describes a geometry-optimized RbAsH3 structure. The functional is PBE.

Summary:
Energy   -8.841 eV/cell
Energy above the most stable polymorph in this dataset   1.479 eV/atom

CIF file:
```
data_RbAsH3
_space_group_name_H-M_alt 'P m -3 m'
_space_group_IT_number 221
_space_group_name_Hall '-P 4 2 3'
_cell_length_a 4.546
_cell_length_b 4.546
_cell_length_c 4.546
_cell_angle_alpha 90.00
_cell_angle_beta 90.00
_cell_angle_gamma 90.00
loop_
_atom_site_label
_atom_site_type_symbol
_atom_site_fract_x
_atom_site_fract_y
_atom_site_fract_z
Rb1 Rb 0.000 0.000 0.000
As1 As 0.500 0.500 0.500
H1 H 0.000 0.000 0.500
```

This record from the Alexandria database describes a geometry-optimized Cr2NiMo structure. The functional is PBE.

Summary:
Energy   -70.097 eV/cell
Formation energy from the elements   0.2027 eV per atom

CIF file:
```
data_Cr2NiMo
_space_group_name_H-M_alt 'I 4/m m m'
_space_group_IT_number 139
_space_group_name_Hall '-I 4 2'
_cell_length_a 3.687
_cell_length_b 3.687
_cell_length_c 7.412
_cell_angle_alpha 90.00
_cell_angle_beta 90.00
_cell_angle_gamma 90.00
loop_
_atom_site_label
_atom_site_type_symbol
_atom_site_fract_x
_atom_site_fract_y
_atom_site_fract_z
Cr1 Cr 0.000 0.500 0.250
Ni1 Ni 0.000 0.000 0.000
Mo1 Mo 0.000 0.000 0.500
```

This record from the Alexandria database describes a geometry-optimized HoGa2Si structure. The functional is PBE.

Summary:
Energy   -17.752 eV/cell
Uncorrected formation energy   -0.424 eV per atom
Energy above the most stable polymorph in this dataset   0.000 eV/atom

CIF file:
```
data_HoGa2Si
_space_group_name_H-M_alt 'P 4/m m m'
_space_group_IT_number 123
_space_group_name_Hall '-P 4 2'
_cell_length_a 4.181
_cell_length_b 4.181
_cell_length_c 4.281
_cell_angle_alpha 90.00
_cell_angle_beta 90.00
_cell_angle_gamma 90.00
loop_
_atom_site_label
_atom_site_type_symbol
_atom_site_fract_x
_atom_site_fract_y
_atom_site_fract_z
Ho1 Ho 0.000 0.000 0.000
Ga1 Ga 0.000 0.500 0.500
Si1 Si 0.500 0.500 0.000
```

This record from the Alexandria database describes a geometry-optimized Mg2TiCo2 structure. The functional is PBE.

Summary:
Energy   -50.591 eV/cell
Energy above the most stable polymorph in this dataset   0.000 eV/atom
Formation energy from the elements   0.0000 eV per atom

CIF file:
```
data_Mg2TiCo2
_space_group_name_H-M_alt 'P 4/m b m'
_space_group_IT_number 127
_space_group_name_Hall '-P 4 2ab'
_cell_length_a 6.095
_cell_length_b 6.095
_cell_length_c 4.192
_cell_angle_alpha 90.00
_cell_angle_beta 90.00
_cell_angle_gamma 90.00
loop_
_atom_site_label
_atom_site_type_symbol
_atom_site_fract_x
_atom_site_fract_y
_atom_site_fract_z
Mg1 Mg 0.172 0.328 0.000
Ti1 Ti 0.000 0.000 0.500
Co1 Co 0.129 0.629 0.500
```

This record from the Alexandria database describes a geometry-optimized ScGe3Rh3 structure. The functional is PBE.

Summary:
Energy   -85.468 eV/cell
Formation energy from the elements   -0.0708 eV per atom

CIF file:
```
data_ScGe3Rh3
_space_group_name_H-M_alt 'P m -3 n'
_space_group_IT_number 223
_space_group_name_Hall '-P 4n 2 3'
_cell_length_a 6.663
_cell_length_b 6.663
_cell_length_c 6.663
_cell_angle_alpha 90.00
_cell_angle_beta 90.00
_cell_angle_gamma 90.00
loop_
_atom_site_label
_atom_site_type_symbol
_atom_site_fract_x
_atom_site_fract_y
_atom_site_fract_z
Sc1 Sc 0.000 0.000 0.000
Ge1 Ge 0.000 0.250 0.500
Rh1 Rh 0.000 0.500 0.250
```

This record from the Alexandria database describes a geometry-optimized La5DyN5 structure. The functional is PBE.

Summary:
Energy   -169.134 eV/cell
Uncorrected formation energy   -1.246 eV per atom

CIF file:
```
data_La5DyN5
_space_group_name_H-M_alt 'C 1 2/m 1'
_space_group_IT_number 12
_space_group_name_Hall '-C 2y'
_cell_length_a 11.624
_cell_length_b 5.246
_cell_length_c 7.372
_cell_angle_alpha 90.00
_cell_angle_beta 108.64
_cell_angle_gamma 90.00
loop_
_atom_site_label
_atom_site_type_symbol
_atom_site_fract_x
_atom_site_fract_y
_atom_site_fract_z
La1 La 0.000 0.000 0.000
La2 La 0.170 0.500 0.344
La3 La 0.170 0.500 0.823
Dy1 Dy 0.000 0.000 0.500
N1 N 0.000 0.500 0.500
N2 N 0.157 0.000 0.822
N3 N 0.167 0.000 0.341
```

This record from the Alexandria database describes a geometry-optimized Be3HgSb structure. The functional is PBE.

Summary:
Energy   -11.032 eV/cell
Uncorrected formation energy   0.914 eV per atom
Energy above the most stable polymorph in this dataset   0.000 eV/atom

CIF file:
```
data_Be3HgSb
_space_group_name_H-M_alt 'P m -3 m'
_space_group_IT_number 221
_space_group_name_Hall '-P 4 2 3'
_cell_length_a 4.520
_cell_length_b 4.520
_cell_length_c 4.520
_cell_angle_alpha 90.00
_cell_angle_beta 90.00
_cell_angle_gamma 90.00
loop_
_atom_site_label
_atom_site_type_symbol
_atom_site_fract_x
_atom_site_fract_y
_atom_site_fract_z
Be1 Be 0.000 0.000 0.500
Hg1 Hg 0.000 0.000 0.000
Sb1 Sb 0.500 0.500 0.500
```

- Which formula does entry 7 have?
  Cr2NiMo

- Among the records above, which one has the highest energy?
  CdBr2Cl

- Look up the energy of the sixth one.
  -8.841 eV/cell

- energy of number 7 (Cr2NiMo)?
  -70.097 eV/cell